Run 1
Compound: BaTePb2
Source: Alexandria
Functional: PBE-GGA
Structure: relaxed

For the density of states at the Fermi level, the calculation gives 0.82 states/eV per atom. As for the total magnetization: 0.0 μB per formula unit.

The structure belongs to space group P4/mmm (No. 123); the cell edges are 4.8926, 4.8926 and 5.7775 Å and the angles 90.00°, 90.00° and 90.00°. The inequivalent atoms are Ba at (0.0000, 0.0000, 0.0000), Te at (0.5000, 0.5000, 0.0000) and Pb at (0.0000, 0.5000, 0.5000).

Run 2
Compound: BaTePb2
Source: Alexandria
Functional: PBE-GGA
Structure: relaxed

For the density of states at the Fermi level, the calculation gives 0.62 states/eV per atom. As for the total magnetization: 0.0 μB per formula unit.

The structure belongs to space group Pmmm (No. 47); the cell edges are 4.4995, 4.5108 and 7.1360 Å and the angles 90.00°, 90.00° and 90.00°. The inequivalent atoms are Ba at (0.0000, 0.0000, 0.0000), Te at (0.0000, 0.0000, 0.5000) and Pb at (0.5000, 0.5000, 0.2913).

Here is how they stack up, most stable first: run 1, run 2.

Run 1
Compound: BaTePb2
Source: Alexandria
Functional: PBE-GGA
Structure: relaxed

For the density of states at the Fermi level, the calculation gives 0.47 states/eV per atom. As for the total magnetization: 0.0 μB per formula unit.

The structure belongs to space group Pmm2 (No. 25); the cell edges are 4.7009, 4.7130 and 7.2580 Å and the angles 90.00°, 90.00° and 90.00°. The inequivalent atoms are Ba at (0.0000, 0.0000, 0.0000), Te at (0.5000, 0.5000, 0.0707), Pb at (0.0000, 0.0000, 0.5078) and Pb at (0.5000, 0.5000, 0.6363).

Run 2
Compound: BaTePb2
Source: Alexandria
Functional: PBE-GGA
Structure: relaxed

For the density of states at the Fermi level, the calculation gives 0.85 states/eV per atom. As for the total magnetization: 0.0 μB per formula unit.

The structure belongs to space group Fm-3m (No. 225); the cell edges are 8.2429, 8.2429 and 8.2429 Å and the angles 90.00°, 90.00° and 90.00°. The inequivalent atoms are Ba at (0.0000, 0.0000, 0.0000), Te at (0.0000, 0.0000, 0.5000) and Pb at (0.2500, 0.2500, 0.2500).

Run 3
Compound: BaTePb2
Source: Alexandria
Functional: PBE-GGA
Structure: relaxed

For the density of states at the Fermi level, the calculation gives 0.57 states/eV per atom. As for the total magnetization: 0.0 μB per formula unit.

The structure belongs to space group Cmmm (No. 65); the cell edges are 6.7504, 7.4368 and 6.0823 Å and the angles 90.00°, 90.00° and 90.00°. The inequivalent atoms are Ba at (0.0000, 0.0000, 0.0000), Te at (0.0000, 0.5000, 0.0000) and Pb at (0.0000, 0.2961, 0.5000).

Run 4
Compound: BaTePb2
Source: Alexandria
Functional: PBE-GGA
Structure: relaxed

For the density of states at the Fermi level, the calculation gives 0.68 states/eV per atom. As for the total magnetization: 0.0 μB per formula unit.

The structure belongs to space group I-4m2 (No. 119); the cell edges are 5.3323, 5.3323 and 9.6789 Å and the angles 90.00°, 90.00° and 90.00°. The inequivalent atoms are Ba at (0.0000, 0.0000, 0.0000), Te at (0.0000, 0.5000, 0.2500), Pb at (0.0000, 0.0000, 0.5000) and Pb at (0.0000, 0.5000, 0.7500).

Here is how they stack up, most stable first: run 1, run 3, run 4, run 2.

Run 1
Compound: BaTePb2
Source: Alexandria
Functional: PBE-GGA
Structure: relaxed

For the density of states at the Fermi level, the calculation gives 0.48 states/eV per atom. As for the total magnetization: 0.0 μB per formula unit.

The structure belongs to space group C2/m (No. 12); the cell edges are 6.7769, 12.6544 and 4.8438 Å and the angles 90.00°, 134.02° and 90.00°. The inequivalent atoms are Ba at (0.0000, 0.0000, 0.0000), Te at (0.0000, 0.5000, 0.0000) and Pb at (0.2500, 0.2500, 0.5000).

Run 2
Compound: BaTePb2
Source: Alexandria
Functional: PBE-GGA
Structure: relaxed

For the density of states at the Fermi level, the calculation gives 0.55 states/eV per atom. As for the total magnetization: 0.0 μB per formula unit.

The structure belongs to space group R-3m (No. 166, hexagonal axes); the cell edges are 4.2972, 4.2972 and 28.9888 Å and the angles 90.00°, 90.00° and 120.00°. The inequivalent atoms are Ba at (0.0000, 0.0000, 0.0000), Te at (0.0000, 0.0000, 0.5000) and Pb at (0.0000, 0.0000, 0.2359).

Here is how they stack up, most stable first: run 1, run 2.

Run 1
Compound: BaTePb2
Source: Alexandria
Functional: PBE-GGA
Structure: relaxed

For the density of states at the Fermi level, the calculation gives 0.64 states/eV per atom. As for the total magnetization: 0.0 μB per formula unit.

The structure belongs to space group I-42d (No. 122); the cell edges are 9.7278, 9.7278 and 6.6526 Å and the angles 90.00°, 90.00° and 90.00°. The inequivalent atoms are Ba at (0.0000, 0.0000, 0.0000), Te at (0.0000, 0.0000, 0.5000) and Pb at (0.2071, 0.2500, 0.6250).

Run 2
Compound: BaTePb2
Source: Alexandria
Functional: PBE-GGA
Structure: relaxed

For the density of states at the Fermi level, the calculation gives 0.62 states/eV per atom. As for the total magnetization: 0.0 μB per formula unit.

The structure belongs to space group Pm (No. 6); the cell edges are 4.7227, 4.7547 and 7.1293 Å and the angles 90.00°, 105.56° and 90.00°. The inequivalent atoms are Ba at (0.0000, 0.0000, 0.0000), Te at (0.4718, 0.5000, 0.9305), Pb at (0.1972, 0.0000, 0.5237) and Pb at (0.6417, 0.5000, 0.3944).

Here is how they stack up, most stable first: run 2, run 1.